1.
A plane-wave DFT calculation with GGA-PBE was carried out for Cu6GeWS8 after structural relaxation.

Cell lengths 7.5658, 7.5658, 12.4441 Å; angles 90.00, 90.00, 120.00 degrees
Closest atoms and distances in Å follow each position.
Fractional positions:
1 Cu 0.0071 0.5036 0.8538  4 S 2.31-2.33
2 S 0.6667 0.3333 0.7993  1 W 2.27, 3 Cu 2.33
3 S 0.4970 0.9939 0.5413  1 W 2.27, 3 Cu 2.33-2.34
4 S 0.5030 0.4970 0.0413  1 W 2.27, 3 Cu 2.33-2.34
5 Cu 0.9929 0.4964 0.3538  4 S 2.31-2.33
6 S 0.6701 0.8351 0.7897  1 Ge 2.29, 3 Cu 2.30-2.31
7 S 0.9939 0.4970 0.0413  1 W 2.27, 3 Cu 2.33-2.34
8 S 0.0000 0.0000 0.5343  1 Ge 2.27, 3 Cu 2.28-2.29
9 S 0.4970 0.5030 0.5413  1 W 2.27, 3 Cu 2.33-2.34
10 Cu 0.5036 0.0071 0.3538  4 S 2.31-2.33
11 Cu 0.5036 0.4964 0.3538  4 S 2.31-2.33
12 S 0.8351 0.6701 0.2897  1 Ge 2.29, 3 Cu 2.30-2.31
13 Cu 0.3219 0.1609 0.1049  4 S 2.29-2.34
14 S 0.8351 0.1649 0.2897  1 Ge 2.29, 3 Cu 2.30-2.31
15 S 0.0000 0.0000 0.0343  1 Ge 2.27, 3 Cu 2.28-2.29
16 S 0.1649 0.8351 0.7897  1 Ge 2.29, 3 Cu 2.30-2.31
17 S 0.1649 0.3299 0.7897  1 Ge 2.29, 3 Cu 2.30-2.31
18 Cu 0.1609 0.3219 0.6049  4 S 2.28-2.34
19 W 0.3333 0.6667 0.4815  4 S 2.27
20 S 0.3333 0.6667 0.2993  1 W 2.27, 3 Cu 2.33
21 Cu 0.4964 0.9929 0.8538  4 S 2.31-2.33
22 Cu 0.8391 0.6781 0.1049  4 S 2.28-2.34
23 Cu 0.4964 0.5036 0.8538  4 S 2.31-2.33
24 S 0.5030 0.0061 0.0413  1 W 2.27, 3 Cu 2.33-2.34
25 Cu 0.8391 0.1609 0.1049  4 S 2.29-2.34
26 S 0.3299 0.1649 0.2897  1 Ge 2.29, 3 Cu 2.30-2.31
27 Cu 0.1609 0.8391 0.6049  4 S 2.29-2.34
28 Ge 0.0000 0.0000 0.8516  4 S 2.27-2.29
29 Cu 0.6781 0.8391 0.6049  4 S 2.29-2.34
30 S 0.0061 0.5030 0.5413  1 W 2.27, 3 Cu 2.33-2.34
31 W 0.6667 0.3333 0.9815  4 S 2.27
32 Ge 0.0000 0.0000 0.3516  4 S 2.27-2.29

Results
- Total magnetization: 0.0 μB/f.u.
- Crystal system: hexagonal
- E: -4.95 eV/atom

---

2.
A plane-wave DFT calculation with GGA-PBE was carried out for YCuGeS3 after structural relaxation.

Cell lengths 6.4657, 6.4657, 10.2443 Å; angles 90.00, 90.00, 146.03 degrees
Closest atoms and distances in Å follow each position.
Fractional positions:
1 Ge 0.7336 0.2664 0.2500  6 S 2.81-2.89
2 Cu 0.0270 0.9730 0.2500  4 S 2.31-2.37
3 Cu 0.9730 0.0270 0.7500  4 S 2.31-2.37
4 S 0.1462 0.8538 0.0769  1 Cu 2.31
5 S 0.1462 0.8538 0.4231  1 Cu 2.31
6 Y 0.5000 0.5000 0.5000  6 S 2.73-2.79
7 S 0.8538 0.1462 0.9231  1 Cu 2.31
8 S 0.4107 0.5893 0.2500  2 Cu 2.37
9 S 0.8538 0.1462 0.5769  1 Cu 2.31
10 S 0.5893 0.4107 0.7500  2 Cu 2.37
11 Y 0.5000 0.5000 0.0000  6 S 2.73-2.79
12 Ge 0.2664 0.7336 0.7500  6 S 2.81-2.89

Results
- Total magnetization: 0.0 μB/f.u.
- Crystal system: orthorhombic
- E: -5.44 eV/atom

---

3.
A plane-wave DFT calculation with GGA-PBE was carried out for CuGeSb after structural relaxation.

Cell lengths 4.4424, 4.4424, 4.4424 Å; angles 60.00, 60.00, 60.00 degrees
Closest atoms and distances in Å follow each position.
Fractional positions:
1 Sb 0.7500 0.7500 0.7500  4 Cu 2.72
2 Ge 0.2500 0.2500 0.2500  4 Cu 2.72
3 Cu 0.0000 0.0000 0.0000  4 Sb 2.72, 4 Ge 2.72

Results
- Offset from the most stable computed form: 0 meV per atom
- Crystal system: cubic

---

4.
A plane-wave DFT calculation with GGA-PBE was carried out for Cu2GeSb after structural relaxation.

Cell lengths 6.5355, 6.5355, 6.5355 Å; angles 90.00, 90.00, 90.00 degrees
Closest atoms and distances in Å follow each position.
Fractional positions:
1 Sb 0.5000 0.5000 0.5000  8 Cu 3.10, 6 Sb 3.27
2 Ge 0.0000 0.0000 0.0000  8 Cu 2.56
3 Cu 0.7742 0.2258 0.7742  4 Ge 2.56-2.75
4 Ge 0.5000 0.0000 0.0000  8 Cu 2.75
5 Sb 0.5000 0.0000 0.5000  8 Cu 2.93, 2 Sb 3.27, 4 Ge 3.27
6 Cu 0.7742 0.2258 0.2258  4 Ge 2.56-2.75
7 Cu 0.2258 0.2258 0.2258  4 Ge 2.56-2.75
8 Cu 0.2258 0.2258 0.7742  4 Ge 2.56-2.75
9 Ge 0.0000 0.5000 0.0000  8 Cu 2.75
10 Cu 0.2258 0.7742 0.2258  4 Ge 2.56-2.75
11 Sb 0.5000 0.5000 0.0000  8 Cu 2.93, 2 Sb 3.27, 4 Ge 3.27
12 Ge 0.0000 0.0000 0.5000  8 Cu 2.75
13 Cu 0.7742 0.7742 0.7742  4 Ge 2.56-2.75
14 Cu 0.7742 0.7742 0.2258  4 Ge 2.56-2.75
15 Cu 0.2258 0.7742 0.7742  4 Ge 2.56-2.75
16 Sb 0.0000 0.5000 0.5000  8 Cu 2.93, 4 Ge 3.27, 2 Sb 3.27

Results
- Crystal system: cubic
- E: -3.80 eV/atom

---

5.
A plane-wave DFT calculation with GGA-PBE was carried out for Cu2GeSb after structural relaxation.

Cell lengths 6.5352, 6.5352, 6.5352 Å; angles 90.00, 90.00, 90.00 degrees
Closest atoms and distances in Å follow each position.
Fractional positions:
1 Cu 0.7259 0.2741 0.2741  4 Ge 2.56-2.75
2 Cu 0.2741 0.7259 0.2741  4 Ge 2.56-2.75
3 Cu 0.2741 0.7259 0.7259  4 Ge 2.56-2.75
4 Ge 0.0000 0.5000 0.5000  8 Cu 2.75
5 Sb 0.0000 0.0000 0.0000  8 Cu 3.10, 6 Sb 3.27
6 Ge 0.5000 0.5000 0.0000  8 Cu 2.75
7 Ge 0.5000 0.5000 0.5000  8 Cu 2.56
8 Sb 0.0000 0.0000 0.5000  8 Cu 2.93, 4 Ge 3.27, 2 Sb 3.27
9 Cu 0.7259 0.7259 0.7259  4 Ge 2.56-2.75
10 Cu 0.7259 0.7259 0.2741  4 Ge 2.56-2.75
11 Sb 0.5000 0.0000 0.0000  8 Cu 2.93, 4 Ge 3.27, 2 Sb 3.27
12 Cu 0.7259 0.2741 0.7259  4 Ge 2.56-2.75
13 Sb 0.0000 0.5000 0.0000  8 Cu 2.93, 4 Ge 3.27, 2 Sb 3.27
14 Ge 0.5000 0.0000 0.5000  8 Cu 2.75
15 Cu 0.2741 0.2741 0.7259  4 Ge 2.56-2.75
16 Cu 0.2741 0.2741 0.2741  4 Ge 2.56-2.75

Results
- Crystal system: cubic
- E: -3.80 eV/atom

---

6.
A plane-wave DFT calculation with GGA-PBE was carried out for ScCuGe2 after structural relaxation.

Cell lengths 4.6337, 4.6337, 4.6337 Å; angles 60.00, 60.00, 60.00 degrees
Closest atoms and distances in Å follow each position.
Fractional positions:
1 Cu 0.7500 0.7500 0.7500  4 Sc 2.84, 4 Ge 2.84
2 Ge 0.2500 0.2500 0.2500  4 Ge 2.84, 4 Sc 2.84
3 Ge 0.5000 0.5000 0.5000  4 Ge 2.84, 4 Cu 2.84
4 Sc 0.0000 0.0000 0.0000  4 Cu 2.84, 4 Ge 2.84

Results
- Total magnetization: 0.0 μB/f.u.
- Crystal system: cubic
- E: -4.89 eV/atom